(1)
Below is a geometry-optimized AlCrSb3 structure, with properties calculated at the GGA-PBE level.

a b c (Å): 5.252 5.252 5.252
angles (deg): 90.00 90.00 90.00
Atoms (fractional coordinates):
1 Cr 0.500 0.500 0.500
2 Sb 0.500 0.000 0.000
3 Sb 0.000 0.500 0.000
4 Sb 0.000 0.000 0.500
5 Al 0.000 0.000 0.000

Size of the total moment, μB/f.u.: 4.36
Formation energy from raw total energies, eV/atom: 0.83
ΔE to the lowest computed polymorph, meV per atom: 305
Calculated density, g/cm³: 5.1

***

(2)
Below is a geometry-optimized Hf3BePt structure, with properties calculated at the GGA-PBE level.

a b c (Å): 4.570 4.570 4.570
angles (deg): 90.00 90.00 90.00
Atoms (fractional coordinates):
1 Hf 0.000 0.000 0.500
2 Hf 0.000 0.500 0.000
3 Hf 0.500 0.000 0.000
4 Be 0.000 0.000 0.000
5 Pt 0.500 0.500 0.500

Size of the total moment, μB/f.u.: 0.00
ΔE to the lowest computed polymorph, meV per atom: 0
Calculated density, g/cm³: 12.9
ΔE_f, eV per formula unit: 0.6

***

(3)
Below is a geometry-optimized Tb2InPd2 structure, with properties calculated at the GGA-PBE level.

a b c (Å): 7.797 7.797 3.692
angles (deg): 90.00 90.00 90.00
Atoms (fractional coordinates):
1 Pd 0.128 0.628 0.000
2 Pd 0.372 0.128 0.000
3 Pd 0.872 0.372 0.000
4 Pd 0.628 0.872 0.000
5 Tb 0.673 0.173 0.500
6 Tb 0.327 0.827 0.500
7 Tb 0.173 0.327 0.500
8 Tb 0.827 0.673 0.500
9 In 0.000 0.000 0.000
10 In 0.500 0.500 0.000

Size of the total moment, μB/f.u.: 0.00
Calculated density, g/cm³: 9.6
ΔE_f, eV per formula unit: -4.3